(1)
This record from Alexandria via LeMat-Bulk describes a relaxed structure of Nd8SiS3Br4. The functional is PBE.

Lattice parameters (Å, degrees): 8.271 8.748 8.271 118.22 120.00 90.00
Atoms (fractional coordinates):
Nd 0.237 0.701 0.964
Nd 0.237 0.701 0.474
Nd 0.268 0.305 0.537
Nd 0.727 0.701 0.964
Nd 0.273 0.299 0.036
Nd 0.732 0.695 0.463
Nd 0.763 0.299 0.526
Nd 0.763 0.299 0.036
Si 0.000 0.500 0.000
S 0.500 0.500 0.000
S 0.500 0.500 0.500
S 0.000 0.500 0.500
Br 0.500 0.000 0.000
Br 0.500 0.000 0.500
Br 0.000 0.000 0.000
Br 0.000 0.000 0.500

Summary:
**Fermi-level density of states**: 0.441 states/eV/atom
**E_tot**: -5.404 eV per atom
**ΔE_f (raw)**: -1.489 eV/atom
**M_tot**: 0.000 μB per atom

***

(2)
This record from Alexandria via LeMat-Bulk describes a relaxed structure of Nd8Si3SBr4. The functional is PBE.

Lattice parameters (Å, degrees): 8.439 8.829 8.438 118.55 120.00 90.00
Atoms (fractional coordinates):
Nd 0.235 0.706 0.971
Nd 0.235 0.706 0.469
Nd 0.263 0.289 0.526
Nd 0.737 0.706 0.971
Nd 0.263 0.294 0.029
Nd 0.737 0.711 0.474
Nd 0.765 0.294 0.531
Nd 0.765 0.294 0.029
Si 0.500 0.500 0.000
Si 0.500 0.500 0.500
Si 0.000 0.500 0.500
S 0.000 0.500 0.000
Br 0.500 0.000 0.000
Br 0.500 0.000 0.500
Br 0.000 0.000 0.000
Br 0.000 0.000 0.500

Summary:
**Fermi-level density of states**: 0.426 states/eV/atom
**E_tot**: -5.307 eV per atom
**ΔE_f (raw)**: -1.230 eV/atom
**M_tot**: 0.000 μB per atom

***

(3)
This record from Alexandria via LeMat-Bulk describes a relaxed structure of NdSmSBr. The functional is PBE.

Lattice parameters (Å, degrees): 3.929 3.932 8.067 90.01 104.01 120.03
Atoms (fractional coordinates):
Nd 0.501 0.149 0.665
Sm 0.107 0.951 0.073
S 0.306 0.551 0.872
Br 0.964 0.380 0.359

Summary:
**Fermi-level density of states**: 0.691 states/eV/atom
**E_tot**: -5.382 eV per atom
**ΔE_f (raw)**: -1.560 eV/atom
**M_tot**: 0.000 μB per atom

***

(4)
This record from Alexandria via LeMat-Bulk describes a relaxed structure of TbNdSBr. The functional is PBE.

Lattice parameters (Å, degrees): 3.901 3.904 7.997 90.00 104.01 120.03
Atoms (fractional coordinates):
Tb 0.333 0.565 0.913
Nd 0.936 0.366 0.317
S 0.128 0.962 0.105
Br 0.481 0.138 0.634

Summary:
**Fermi-level density of states**: 0.733 states/eV/atom
**E_tot**: -5.329 eV per atom
**ΔE_f (raw)**: -1.530 eV/atom
**M_tot**: 0.000 μB per atom

***

(5)
This record from Alexandria via LeMat-Bulk describes a relaxed structure of Nd4ZnSBr2. The functional is PBE.

Lattice parameters (Å, degrees): 4.084 7.142 7.931 107.88 90.00 90.00
Atoms (fractional coordinates):
Nd 0.500 0.251 0.218
Nd 0.500 0.749 0.782
Nd 0.000 0.274 0.792
Nd 0.000 0.726 0.208
Zn 0.000 0.000 0.000
S 0.500 0.500 0.000
Br 0.500 0.000 0.500
Br 0.000 0.500 0.500

Summary:
**Fermi-level density of states**: 0.611 states/eV/atom
**E_tot**: -4.646 eV per atom
**ΔE_f (raw)**: -1.168 eV/atom
**M_tot**: 0.000 μB per atom

***

(6)
This record from Alexandria via LeMat-Bulk describes a relaxed structure of Nd8ZnS3Br4. The functional is PBE.

Lattice parameters (Å, degrees): 8.250 8.785 8.250 118.00 120.00 90.00
Atoms (fractional coordinates):
Nd 0.239 0.705 0.966
Nd 0.239 0.705 0.478
Nd 0.268 0.303 0.536
Nd 0.727 0.705 0.966
Nd 0.273 0.295 0.034
Nd 0.732 0.697 0.464
Nd 0.761 0.295 0.522
Nd 0.761 0.295 0.034
Zn 0.000 0.500 0.000
S 0.500 0.500 0.000
S 0.500 0.500 0.500
S 0.000 0.500 0.500
Br 0.500 0.000 0.000
Br 0.500 0.000 0.500
Br 0.000 0.000 0.000
Br 0.000 0.000 0.500

Summary:
**Fermi-level density of states**: 0.522 states/eV/atom
**E_tot**: -5.043 eV per atom
**ΔE_f (raw)**: -1.388 eV/atom
**M_tot**: 0.000 μB per atom

***

(7)
This record from Alexandria via LeMat-Bulk describes a relaxed structure of Nd6Sb5Br. The functional is PBE.

Lattice parameters (Å, degrees): 7.795 7.818 7.810 59.96 80.39 70.53
Atoms (fractional coordinates):
Sb 0.500 0.164 0.673
Sb 0.000 0.333 0.335
Sb 0.500 0.500 0.000
Sb 0.000 0.667 0.665
Sb 0.500 0.836 0.327
Nd 0.745 0.085 0.344
Nd 0.255 0.571 0.344
Nd 0.255 0.259 0.000
Nd 0.745 0.741 0.000
Nd 0.745 0.429 0.656
Nd 0.255 0.915 0.656
Br 0.000 0.000 0.000

Summary:
**Fermi-level density of states**: 0.272 states/eV/atom
**E_tot**: -5.470 eV per atom
**ΔE_f (raw)**: -1.229 eV/atom
**M_tot**: 0.000 μB per atom

***

(8)
This record from Alexandria via LeMat-Bulk describes a relaxed structure of Nd4SbBr5. The functional is PBE.

Lattice parameters (Å, degrees): 4.144 9.091 9.360 99.10 102.79 90.00
Atoms (fractional coordinates):
Nd 0.669 0.064 0.339
Nd 0.003 0.241 0.005
Nd 0.331 0.936 0.661
Nd 0.997 0.759 0.995
Sb 0.500 0.000 0.000
Br 0.168 0.312 0.337
Br 0.166 0.807 0.332
Br 0.834 0.193 0.668
Br 0.500 0.500 0.000
Br 0.832 0.688 0.663

Summary:
**Fermi-level density of states**: 0.513 states/eV/atom
**E_tot**: -4.639 eV per atom
**ΔE_f (raw)**: -1.483 eV/atom
**M_tot**: 0.000 μB per atom